Here is a relaxed SrAlAg3 crystal from Alexandria. Energies are from PBE-GGA.

## Properties
Theoretical density   5.79 Mg/m³
Formation energy from the elements   -0.08 eV per atom
Excess energy over the best structure of this formula in the dataset   0.1229 eV/atom
Total energy   -0.1058 Ha/atom
Space group   Pm-3m

Lattice parameters (Å, degrees): 5.010 5.010 5.010 90.00 90.00 90.00
Sites, in units of the cell vectors:
1 Sr 0.000 0.000 0.000
2 Al 0.500 0.500 0.500
3 Ag 0.000 0.500 0.500
4 Ag 0.500 0.000 0.500
5 Ag 0.500 0.500 0.000


Here is a relaxed CuRuCl2 crystal from Alexandria. Energies are from PBE-GGA.

## Properties
ΔE_f (raw)   367 meV/atom
Theoretical density   4.50 Mg/m³
Excess energy over the best structure of this formula in the dataset   0.3359 eV/atom
Total energy   -0.1433 Ha/atom
Space group   I-42d

Lattice parameters (Å, degrees): 6.789 6.789 6.789 131.14 131.14 71.59
Sites, in units of the cell vectors:
1 Cu 0.000 0.000 0.000
2 Cu 0.750 0.250 0.500
3 Ru 0.250 0.750 0.500
4 Ru 0.500 0.500 0.000
5 Cl 0.099 0.625 0.974
6 Cl 0.375 0.349 0.474
7 Cl 0.651 0.125 0.026
8 Cl 0.875 0.901 0.526


Here is a relaxed LiTb3Tm2Te6 crystal from Alexandria. Energies are from PBE-GGA.

## Properties
ΔE_f (raw)   -1282 meV/atom
Theoretical density   7.67 Mg/m³
Total energy   -0.1806 Ha/atom
Space group   C2/m

Lattice parameters (Å, degrees): 9.688 9.688 8.665 103.25 103.25 25.77
Sites, in units of the cell vectors:
1 Li 0.000 0.000 0.000
2 Tb 0.000 0.000 0.500
3 Tb 0.333 0.333 0.171
4 Tb 0.667 0.667 0.829
5 Tm 0.333 0.333 0.663
6 Tm 0.667 0.667 0.337
7 Te 0.162 0.162 0.084
8 Te 0.167 0.167 0.580
9 Te 0.498 0.498 0.760
10 Te 0.502 0.502 0.240
11 Te 0.833 0.833 0.420
12 Te 0.838 0.838 0.916


Which value of total energy does entry 3 give? -0.1806 Ha/atom


What is the formula in the second record? CuRuCl2